Material: NbHS2Cl
Method: DFT, GGA-PBEsol
State: relaxed

The structure in extended XYZ format:
```
5
Lattice="4.720 0.000 0.000 0.000 4.720 0.000 0.000 0.000 4.927" Properties=species:S:1:pos:R:3 pbc="T T T"
Nb 0.000 0.000 0.000
H 2.360 2.360 2.463
S 0.000 2.360 0.000
S 2.360 0.000 0.000
Cl 0.000 0.000 2.463
```

Computed properties:
Space group = P4/mmm
N(E_F) = 1.37 states/eV/cell
E = -5.033 eV/atom
Size of the total moment = 1.013 μB per cell